VASP calculation (GGA-PBE) on an optimized crystal structure of Zr2VTcW.

## Properties
* calculated density: 7.26 g cm⁻³
* symmetry: P4/mmm
* volume: 23.56 Å³ per atom
* energy above the lowest structure with this stoichiometry: 0.033 eV/atom
* total energy: -8.50 eV per atom
* total magnetic moment: 0.1 Bohr magnetons per cell

```
data_Zr2VTcW
_symmetry_space_group_name_H-M 'P 1'
_symmetry_Int_Tables_number 1
_cell_length_a 5.048
_cell_length_b 4.623
_cell_length_c 5.048
_cell_angle_alpha 90.00
_cell_angle_beta 90.00
_cell_angle_gamma 90.00
loop_
_symmetry_equiv_pos_as_xyz
'x,y,z'
loop_
_atom_site_label
_atom_site_type_symbol
_atom_site_fract_x
_atom_site_fract_y
_atom_site_fract_z
Tc1 Tc 0.000 0.500 0.000
V1 V 0.500 0.500 0.500
W1 W 0.000 0.000 0.000
Zr1 Zr 0.000 0.000 0.500
Zr2 Zr 0.500 0.000 0.000
```